Material: Tb3NdHg3
Method: DFT, PBE-GGA
State: relaxed

Total magnetization ... 0.00 μB per cell
V ... 395.31 Å³/cell
Symmetry ... P6_3/m, No. 176
Crystal system ... hexagonal
ρ ... 10.27 g/cm³
Formation energy from the elements ... -0.3170 eV/atom

```
14
Lattice="9.402 0.000 0.000 -4.701 8.142 0.000 0.000 0.000 5.164" Properties=species:S:1:pos:R:3 pbc="T T T"
Tb -1.064 2.000 1.291
Tb -2.437 8.064 1.291
Tb 1.200 1.922 3.873
Tb 3.501 6.221 1.291
Tb 7.138 0.079 3.873
Tb 5.765 6.142 3.873
Nd 0.000 5.428 3.873
Nd 4.701 2.714 1.291
Hg -2.350 4.999 1.291
Hg 1.546 3.607 1.291
Hg 3.897 0.464 3.873
Hg 0.804 7.678 1.291
Hg 3.155 4.535 3.873
Hg 7.051 3.143 3.873
```